Record 1
The following is a DFT calculation (PBE) of a geometry-optimized AcLa3Er structure.

a b c (Å): 3.792 9.592 11.581
angles (deg): 65.67 89.98 89.96
Space group P-1 (No. 2)
One atom of each set of equivalent atoms:
1 Ac 0.001 0.197 0.499 x2
2 La 0.499 0.976 0.174 x2
3 La 0.500 0.351 0.173 x2
4 La 0.500 0.420 0.659 x2
5 Er 0.000 0.280 0.940 x2

energy relative to the lowest polymorph listed for this composition: 0 meV per atom
DOS at the Fermi energy: 1.776 states/eV/atom
calculated volume: 38.4 Å³ per atom
energy relative to the elements: 0.43 eV/f.u.


Record 2
The following is a DFT calculation (PBE) of a geometry-optimized SbAsPd3 structure.

a b c (Å): 4.910 4.910 4.910
angles (deg): 90.00 90.00 90.00
Space group Pm-3m (No. 221)
One atom of each set of equivalent atoms:
1 Sb 0.000 0.000 0.000 x1
2 As 0.500 0.500 0.500 x1
3 Pd 0.000 0.000 0.500 x3

energy relative to the lowest polymorph listed for this composition: 921 meV per atom
DOS at the Fermi energy: 0.621 states/eV/atom
calculated volume: 23.7 Å³ per atom
formation energy without anion corrections: 0.5505 eV/atom